Entry 1:
# HfMg2HgH, optimized geometry, DFT PBE
data_HfMg2HgH
_cell_length_a 4.4259
_cell_length_b 4.4259
_cell_length_c 4.2327
_cell_angle_alpha 90.00
_cell_angle_beta 90.00
_cell_angle_gamma 90.00
_symmetry_space_group_name_H-M 'P 4/m m m'
_symmetry_Int_Tables_number 123
_symmetry_space_group_name_Hall '-P 4 2'
loop_
_atom_site_label
_atom_site_fract_x
_atom_site_fract_y
_atom_site_fract_z
Hf1 0.0000 0.0000 0.0000
Mg1 0.0000 0.5000 0.5000
Hg1 0.5000 0.5000 0.0000
H1 0.0000 0.0000 0.5000
# Magnetic moment   0.0 Bohr magnetons per cell
# Crystal system   tetragonal
# Final energy   -3.45 eV/atom

***

Entry 2:
# BeTeAs, optimized geometry, DFT PBE
data_BeTeAs
_cell_length_a 3.1570
_cell_length_b 3.1570
_cell_length_c 7.5874
_cell_angle_alpha 90.00
_cell_angle_beta 90.00
_cell_angle_gamma 120.00
_symmetry_space_group_name_H-M 'P 3 m 1'
_symmetry_Int_Tables_number 156
loop_
_symmetry_equiv_pos_as_xyz
'x,y,z'
'-y,x-y,z'
'-x+y,-x,z'
'-y,-x,z'
'-x+y,y,z'
'x,x-y,z'
loop_
_atom_site_label
_atom_site_fract_x
_atom_site_fract_y
_atom_site_fract_z
Be1 0.0000 0.0000 0.0000
Te1 0.3333 0.6667 0.2635
As1 0.6667 0.3333 0.7835
# E_form (uncorrected)   31 kJ per mole of atoms
# Magnetic moment   0.0 Bohr magnetons per cell
# Crystal system   trigonal
# Final energy   -3.51 eV/atom

***

Entry 3:
# PmBrCl, optimized geometry, DFT PBE
data_PmBrCl
_cell_length_a 6.8015
_cell_length_b 3.9266
_cell_length_c 15.1007
_cell_angle_alpha 90.00
_cell_angle_beta 98.72
_cell_angle_gamma 90.00
_symmetry_space_group_name_H-M 'C 1 2/m 1'
_symmetry_Int_Tables_number 12
loop_
_symmetry_equiv_pos_as_xyz
'x,y,z'
'-x,-y,-z'
'-x,y,-z'
'x,-y,z'
'x+1/2,y+1/2,z'
'-x+1/2,-y+1/2,-z'
'-x+1/2,y+1/2,-z'
'x+1/2,-y+1/2,z'
loop_
_atom_site_label
_atom_site_fract_x
_atom_site_fract_y
_atom_site_fract_z
Pm1 0.0866 0.0000 0.2630
Br1 0.2098 0.5000 0.1338
Cl1 0.2079 0.0000 0.6216
# E_form (uncorrected)   -179 kJ per mole of atoms
# Magnetic moment   4.0 Bohr magnetons per cell
# Crystal system   monoclinic
# Final energy   -4.61 eV/atom

***

Entry 4:
# HfNi2AgRu, optimized geometry, DFT PBE
data_HfNi2AgRu
_cell_length_a 4.4439
_cell_length_b 4.4439
_cell_length_c 4.8288
_cell_angle_alpha 90.00
_cell_angle_beta 90.00
_cell_angle_gamma 90.00
_symmetry_space_group_name_H-M 'P 4/m m m'
_symmetry_Int_Tables_number 123
_symmetry_space_group_name_Hall '-P 4 2'
loop_
_atom_site_label
_atom_site_fract_x
_atom_site_fract_y
_atom_site_fract_z
Hf1 0.0000 0.0000 0.0000
Ni1 0.0000 0.5000 0.5000
Ag1 0.5000 0.5000 0.5000
Ru1 0.5000 0.5000 0.0000
# Magnetic moment   0.0 Bohr magnetons per cell
# Crystal system   tetragonal
# Formation energy from the elements   1.303 eV/atom
# Final energy   -5.43 eV/atom

***

Entry 5:
# Y2Al2Pd5Au, optimized geometry, DFT PBE
data_Y2Al2Pd5Au
_cell_length_a 9.9161
_cell_length_b 9.9161
_cell_length_c 3.6873
_cell_angle_alpha 90.00
_cell_angle_beta 90.00
_cell_angle_gamma 90.00
_symmetry_space_group_name_H-M 'P 4/m b m'
_symmetry_Int_Tables_number 127
_symmetry_space_group_name_Hall '-P 4 2ab'
loop_
_atom_site_label
_atom_site_fract_x
_atom_site_fract_y
_atom_site_fract_z
Y1 0.1798 0.3202 0.0000
Al1 0.1181 0.6181 0.0000
Pd1 0.0000 0.5000 0.5000
Pd2 0.0649 0.7906 0.5000
Au1 0.0000 0.0000 0.0000
# Magnetic moment   0.0 Bohr magnetons per cell
# Crystal system   tetragonal
# Formation energy from the elements   -0.726 eV/atom
# Final energy   -5.69 eV/atom

***

Entry 6:
# Na4Tm3HfS8, optimized geometry, DFT PBE
data_Na4Tm3HfS8
_cell_length_a 7.7164
_cell_length_b 7.7164
_cell_length_c 20.0799
_cell_angle_alpha 90.00
_cell_angle_beta 90.00
_cell_angle_gamma 120.00
_symmetry_space_group_name_H-M 'R -3 m'
_symmetry_Int_Tables_number 166
_symmetry_space_group_name_Hall '-R 3 2"'
loop_
_atom_site_label
_atom_site_fract_x
_atom_site_fract_y
_atom_site_fract_z
Na1 0.0000 0.0000 0.0000
Na2 0.0000 0.5000 0.0000
Tm1 0.0000 0.5000 0.5000
Hf1 0.0000 0.0000 0.5000
S1 0.0000 0.0000 0.2425
S2 0.0121 0.5061 0.2408
# E_form (uncorrected)   -167 kJ per mole of atoms
# Magnetic moment   0.0 Bohr magnetons per cell
# Crystal system   trigonal
# Final energy   -5.59 eV/atom

***

Entry 7:
# RbYP2S, optimized geometry, DFT PBE
data_RbYP2S
_cell_length_a 5.1284
_cell_length_b 5.1284
_cell_length_c 5.3295
_cell_angle_alpha 90.00
_cell_angle_beta 90.00
_cell_angle_gamma 90.00
_symmetry_space_group_name_H-M 'P 4/m m m'
_symmetry_Int_Tables_number 123
_symmetry_space_group_name_Hall '-P 4 2'
loop_
_atom_site_label
_atom_site_fract_x
_atom_site_fract_y
_atom_site_fract_z
Rb1 0.0000 0.0000 0.0000
Y1 0.5000 0.5000 0.5000
P1 0.0000 0.5000 0.0000
S1 0.0000 0.0000 0.5000
# E_form (uncorrected)   101 kJ per mole of atoms
# Magnetic moment   0.0 Bohr magnetons per cell
# Crystal system   tetragonal
# Final energy   -3.43 eV/atom

***

Entry 8:
# SrBe4Co, optimized geometry, DFT PBE
data_SrBe4Co
_cell_length_a 6.7073
_cell_length_b 6.7073
_cell_length_c 6.7073
_cell_angle_alpha 90.00
_cell_angle_beta 90.00
_cell_angle_gamma 90.00
_symmetry_space_group_name_H-M 'F -4 3 m'
_symmetry_Int_Tables_number 216
_symmetry_space_group_name_Hall 'F -4 2 3'
loop_
_atom_site_label
_atom_site_fract_x
_atom_site_fract_y
_atom_site_fract_z
Sr1 0.0000 0.0000 0.0000
Be1 0.1190 0.1190 0.3810
Co1 0.2500 0.2500 0.7500
# Magnetic moment   3.2 Bohr magnetons per cell
# Crystal system   cubic
# Formation energy from the elements   0.404 eV/atom
# Final energy   -3.54 eV/atom

***

Entry 9:
# Ti2CuW, optimized geometry, DFT PBE
data_Ti2CuW
_cell_length_a 3.2057
_cell_length_b 3.2057
_cell_length_c 6.0111
_cell_angle_alpha 90.00
_cell_angle_beta 90.00
_cell_angle_gamma 90.00
_symmetry_space_group_name_H-M 'P 4/m m m'
_symmetry_Int_Tables_number 123
_symmetry_space_group_name_Hall '-P 4 2'
loop_
_atom_site_label
_atom_site_fract_x
_atom_site_fract_y
_atom_site_fract_z
Ti1 0.0000 0.0000 0.2453
Cu1 0.5000 0.5000 0.5000
W1 0.5000 0.5000 0.0000
# Magnetic moment   0.0 Bohr magnetons per cell
# Crystal system   tetragonal
# Formation energy from the elements   -0.071 eV/atom
# Final energy   -8.28 eV/atom

***

Entry 10:
# ZrRu2, optimized geometry, DFT PBE
data_ZrRu2
_cell_length_a 6.5537
_cell_length_b 6.5537
_cell_length_c 4.2040
_cell_angle_alpha 90.00
_cell_angle_beta 90.00
_cell_angle_gamma 120.00
_symmetry_space_group_name_H-M 'P -6 2 m'
_symmetry_Int_Tables_number 189
_symmetry_space_group_name_Hall 'P -6 -2'
loop_
_atom_site_label
_atom_site_fract_x
_atom_site_fract_y
_atom_site_fract_z
Zr1 0.0000 0.0000 0.0000
Zr2 0.3333 0.6667 0.5000
Ru1 0.0000 0.2401 0.5000
Ru2 0.0000 0.5689 0.0000
# Magnetic moment   0.0 Bohr magnetons per cell
# Crystal system   hexagonal
# Formation energy from the elements   0.220 eV/atom
# Final energy   -8.81 eV/atom

***

Entry 11:
# K3VIr, optimized geometry, DFT PBE
data_K3VIr
_cell_length_a 6.1453
_cell_length_b 6.1453
_cell_length_c 6.1453
_cell_angle_alpha 90.00
_cell_angle_beta 90.00
_cell_angle_gamma 90.00
_symmetry_space_group_name_H-M 'P m -3 m'
_symmetry_Int_Tables_number 221
_symmetry_space_group_name_Hall '-P 4 2 3'
loop_
_atom_site_label
_atom_site_fract_x
_atom_site_fract_y
_atom_site_fract_z
K1 0.0000 0.0000 0.5000
V1 0.5000 0.5000 0.5000
Ir1 0.0000 0.0000 0.0000
# Magnetic moment   4.9 Bohr magnetons per cell
# Crystal system   cubic
# Formation energy from the elements   1.423 eV/atom
# Final energy   -2.83 eV/atom

***

Entry 12:
# Th2Ga3Au, optimized geometry, DFT PBE
data_Th2Ga3Au
_cell_length_a 8.2721
_cell_length_b 8.7611
_cell_length_c 15.1791
_cell_angle_alpha 90.00
_cell_angle_beta 90.00
_cell_angle_gamma 90.00
_symmetry_space_group_name_H-M 'F m m m'
_symmetry_Int_Tables_number 69
_symmetry_space_group_name_Hall '-F 2 2'
loop_
_atom_site_label
_atom_site_fract_x
_atom_site_fract_y
_atom_site_fract_z
Th1 0.2453 0.0000 0.0000
Th2 0.2500 0.2500 0.2500
Ga1 0.0000 0.0000 0.3367
Ga2 0.0000 0.2451 0.4179
Au1 0.0000 0.0000 0.1677
# Magnetic moment   0.0 Bohr magnetons per cell
# Crystal system   orthorhombic
# Formation energy from the elements   -0.645 eV/atom
# Final energy   -5.18 eV/atom

***

| no. | D(E_F) (states/eV per atom) |
| --- | --- |
| 1 | 0.3976 |
| 2 | 0.3052 |
| 3 | 0.0066 |
| 4 | 1.0143 |
| 5 | 0.6769 |
| 6 | 0.2466 |
| 7 | 1.4471 |
| 8 | 1.2150 |
| 9 | 0.9453 |
| 10 | 0.9778 |
| 11 | 3.4384 |
| 12 | 0.7367 |